No. 1
Below is a geometry-optimized TiVRu structure, with properties calculated at the PBE-GGA level.

The calculation puts the offset from the most stable computed form at 0.002 eV per atom. As for the magnetic moment: 0.00 Bohr magnetons per cell. Its calculated volume is 86.1 Å³/cell.

The structure belongs to space group I4mm (No. 107); the cell edges are 3.022, 3.022 and 9.428 Å and the angles 90.00°, 90.00° and 90.00°. Symmetry generates all atoms from Ti at (0.000, 0.000, 0.000), V at (0.000, 0.000, 0.674) and Ru at (0.000, 0.000, 0.330).

=====

No. 2
Below is a geometry-optimized Ti3VRu2 structure, with properties calculated at the PBE-GGA level.

As for the magnetic moment: 0.00 Bohr magnetons per cell. As for the raw total energy: -9.055 eV/atom. Its calculated volume is 88.8 Å³/cell.

The structure belongs to space group P4/mmm (No. 123); the cell edges are 3.071, 3.071 and 9.418 Å and the angles 90.00°, 90.00° and 90.00°. Symmetry generates all atoms from Ti at (0.000, 0.000, 0.000), Ti at (0.000, 0.000, 0.328), V at (0.500, 0.500, 0.500) and Ru at (0.500, 0.500, 0.164).

=====

No. 3
Below is a geometry-optimized Ti8V2Ru structure, with properties calculated at the PBE-GGA level.

As for the magnetic moment: 0.01 Bohr magnetons per cell. As for the raw total energy: -8.219 eV/atom. Its calculated volume is 359.9 Å³/cell.

The structure belongs to space group C2/m (No. 12); the cell edges are 12.690, 5.482 and 5.239 Å and the angles 90.00°, 99.08° and 90.00°. Symmetry generates all atoms from Ti at (0.088, 0.240, 0.381), Ti at (0.101, 0.000, 0.915), Ti at (0.186, 0.500, 0.832), V at (0.249, 0.000, 0.657) and Ru at (0.000, 0.500, 0.000).

=====

No. 4
Below is a geometry-optimized TiVRu structure, with properties calculated at the PBE-GGA level.

The calculation puts the offset from the most stable computed form at 0.122 eV per atom. As for the magnetic moment: 0.00 Bohr magnetons per cell. Its calculated volume is 43.2 Å³/cell.

The structure belongs to space group P3m1 (No. 156); the cell edges are 4.2160, 4.2160 and 2.8062 Å and the angles 90.00°, 90.00° and 120.00°. Symmetry generates all atoms from Ti at (0.0000, 0.0000, 0.0000), V at (0.3333, 0.6667, 0.6348) and Ru at (0.6667, 0.3333, 0.3288).

=====

No. 5
Below is a geometry-optimized TiV3Ru4 structure, with properties calculated at the PBE-GGA level.

As for the magnetic moment: 1.99 Bohr magnetons per cell. As for the raw total energy: -9.403 eV/atom. Its calculated volume is 111.3 Å³/cell.

The structure belongs to space group Pmmm (No. 47); the cell edges are 3.025, 4.288 and 8.583 Å and the angles 90.00°, 90.00° and 90.00°. Symmetry generates all atoms from Ti at (0.000, 0.000, 0.000), V at (0.000, 0.000, 0.500), V at (0.000, 0.500, 0.255), Ru at (0.500, 0.000, 0.251), Ru at (0.500, 0.500, 0.000) and Ru at (0.500, 0.500, 0.500).

=====

No. 6
Below is a geometry-optimized Ti3VRu4 structure, with properties calculated at the PBE-GGA level.

As for the magnetic moment: 0.00 Bohr magnetons per cell. As for the raw total energy: -9.369 eV/atom. Its calculated volume is 114.9 Å³/cell.

The structure belongs to space group Pmmm (No. 47); the cell edges are 3.055, 4.334 and 8.676 Å and the angles 90.00°, 90.00° and 90.00°. Symmetry generates all atoms from Ti at (0.000, 0.000, 0.000), Ti at (0.000, 0.500, 0.253), V at (0.000, 0.000, 0.500), Ru at (0.500, 0.000, 0.253), Ru at (0.500, 0.500, 0.000) and Ru at (0.500, 0.500, 0.500).